No. 1
A relaxed structure of LaIn2I8, computed with PBE.

Cell lengths 14.4617, 11.3816, 7.5899 Å; angles 90.00, 100.80, 90.00 degrees
Closest atoms and distances in Å follow each position.
Space group C2/m (No. 12)
Asymmetric unit:
1 La 0.0000 0.0000 0.0000 x2  6 I 3.19-3.21
2 In 0.2070 0.0000 0.6703 x4  4 I 2.77-2.93
3 I 0.0935 0.1897 0.7775 x8  1 In 2.92, 1 La 3.19
4 I 0.1075 0.5000 0.1514 x4  1 In 2.77
5 I 0.1959 0.0000 0.2806 x4  1 In 2.93, 1 La 3.21

volume: 1227 Å³ per cell
uncorrected formation energy: -0.787 eV/atom
final energy: -2.86 eV/atom
total magnetization: 0.00 μB per atom



No. 2
A relaxed structure of LiS3, computed with PBE.

Cell lengths 7.8256, 6.9023, 7.8603 Å; angles 90.00, 117.01, 90.00 degrees
Closest atoms and distances in Å follow each position.
Space group C2/m (No. 12)
Asymmetric unit:
1 Li 0.1405 0.0000 0.3407 x4  5 S 2.57-2.77
2 S 0.1544 0.2362 0.7080 x8  1 S 2.01
3 S 0.1843 0.5000 0.2643 x4  2 S 2.01

volume: 378 Å³ per cell
uncorrected formation energy: -0.362 eV/atom
final energy: -3.94 eV/atom
total magnetization: 0.00 μB per atom



No. 3
A relaxed structure of TlCdAgRh, computed with PBE.

Cell lengths 6.6950, 6.6950, 6.6950 Å; angles 90.00, 90.00, 90.00 degrees
Closest atoms and distances in Å follow each position.
Space group F-43m (No. 216)
Asymmetric unit:
1 Tl 0.0000 0.0000 0.0000 x4  4 Rh 2.90, 4 Ag 2.90
2 Cd 0.0000 0.0000 0.5000 x4  4 Rh 2.90, 4 Ag 2.90
3 Ag 0.2500 0.2500 0.2500 x4  4 Cd 2.90, 4 Tl 2.90
4 Rh 0.2500 0.2500 0.7500 x4  4 Cd 2.90, 4 Tl 2.90

volume: 300 Å³ per cell
formation energy: 74 meV/atom
final energy: -3.30 eV/atom
total magnetization: 0.00 μB per atom



No. 4
A relaxed structure of ErZr2Ni9, computed with PBE.

Cell lengths 4.8837, 4.8837, 23.8841 Å; angles 90.00, 90.00, 120.00 degrees
Closest atoms and distances in Å follow each position.
Space group R-3m (No. 166, hexagonal axes)
Asymmetric unit:
1 Er 0.0000 0.0000 0.0000 x3  6 Ni 2.82
2 Zr 0.0000 0.0000 0.1390 x6  12 Ni 2.76-2.96
3 Ni 0.0000 0.0000 0.3337 x6  6 Ni 2.46-2.47
4 Ni 0.0000 0.0000 0.5000 x3  6 Ni 2.42
5 Ni 0.0038 0.5019 0.9153 x18  7 Ni 2.41-2.47

volume: 493 Å³ per cell
formation energy: -433 meV/atom
final energy: -6.57 eV/atom
total magnetization: 0.00 μB per atom



No. 5
A relaxed structure of La2PdPt2, computed with PBE.

Cell lengths 5.6047, 5.6047, 8.1189 Å; angles 90.00, 90.00, 90.00 degrees
Closest atoms and distances in Å follow each position.
Space group I4/mmm (No. 139)
Asymmetric unit:
1 La 0.0000 0.5000 0.2500 x4  4 Pt 2.89
2 Pd 0.0000 0.0000 0.0000 x2  2 Pt 2.75
3 Pt 0.0000 0.0000 0.3385 x4  1 Pt 2.62, 1 Pd 2.75, 4 La 2.89

offset from the most stable computed form: 148 meV per atom
volume: 255 Å³ per cell
formation energy: -900 meV/atom
final energy: -6.33 eV/atom
total magnetization: 0.00 μB per atom



No. 6
A relaxed structure of Ac7Pm2Ho2, computed with PBE.

Cell lengths 13.2821, 10.5825, 6.7086 Å; angles 90.00, 96.47, 90.00 degrees
Closest atoms and distances in Å follow each position.
Space group C2/m (No. 12)
Asymmetric unit:
1 Ac 0.0000 0.0000 0.0000 x2  2 Pm 3.49, 4 Ho 3.83
2 Ac 0.0499 0.5000 0.2614 x4  1 Pm 3.30, 2 Ac 3.60-3.61
3 Ac 0.2376 0.3273 0.7523 x8  2 Pm 3.51-3.75, 3 Ac 3.66-3.81, 1 Ho 3.78
4 Pm 0.2005 0.0000 0.7066 x4  4 Ac 3.30-3.51, 2 Ho 3.40
5 Ho 0.0000 0.1740 0.5000 x4  2 Pm 3.40, 1 Ho 3.68, 2 Ac 3.78

volume: 937 Å³ per cell
formation energy: 253 meV/atom
final energy: -4.06 eV/atom
total magnetization: 0.00 μB per atom